# 1
# Tb2C

A relaxed Tb2C crystal (PBE, Alexandria via LeMat-Bulk).

## Properties
Calculated volume   68.51 Å³ per cell
Calculated formation energy   0.06 eV per atom
Size of the total moment   0.000 μB per cell

Cell and atoms, written as CIF:
```
data_Tb2C
_chemical_formula_sum 'Tb2 C1'
_symmetry_space_group_name_H-M 'P 1'
_symmetry_Int_Tables_number 1
_cell_length_a 6.9826
_cell_length_b 3.5550
_cell_length_c 6.5128
_cell_angle_alpha 82.18
_cell_angle_beta 30.29
_cell_angle_gamma 67.53
loop_
_symmetry_equiv_pos_as_xyz
'x,y,z'
loop_
_atom_site_label
_atom_site_fract_x
_atom_site_fract_y
_atom_site_fract_z
_atom_site_occupancy
Tb1 0.1146 0.8854 0.1146 1
Tb2 0.8854 0.1146 0.8854 1
C1 0.6634 0.6634 0.3366 1
```

---

# 2
# TbCdCu

A relaxed TbCdCu crystal (PBE, Alexandria via LeMat-Bulk).

## Properties
Calculated volume   128.44 Å³ per cell
Calculated formation energy   -0.28 eV per atom
Size of the total moment   0.000 μB per cell

Cell and atoms, written as CIF:
```
data_TbCdCu
_chemical_formula_sum 'Tb2 Cd2 Cu2'
_symmetry_space_group_name_H-M 'P 1'
_symmetry_Int_Tables_number 1
_cell_length_a 5.4062
_cell_length_b 5.4062
_cell_length_c 7.1364
_cell_angle_alpha 119.79
_cell_angle_beta 119.79
_cell_angle_gamma 47.12
loop_
_symmetry_equiv_pos_as_xyz
'x,y,z'
loop_
_atom_site_label
_atom_site_fract_x
_atom_site_fract_y
_atom_site_fract_z
_atom_site_occupancy
Tb1 0.0684 0.0684 0.3231 1
Tb2 0.9316 0.9316 0.6769 1
Cd1 0.3199 0.3199 0.9095 1
Cd2 0.6801 0.6801 0.0905 1
Cu1 0.3640 0.3640 0.3335 1
Cu2 0.6360 0.6360 0.6665 1
```

---

# 3
# CeMg2Pd

A relaxed CeMg2Pd crystal (PBE, Alexandria via LeMat-Bulk).

## Properties
Calculated volume   85.85 Å³ per cell
Calculated formation energy   -0.13 eV per atom
Size of the total moment   0.596 μB per cell

Cell and atoms, written as CIF:
```
data_CeMg2Pd
_chemical_formula_sum 'Ce1 Mg2 Pd1'
_symmetry_space_group_name_H-M 'P 1'
_symmetry_Int_Tables_number 1
_cell_length_a 10.7431
_cell_length_b 10.7431
_cell_length_c 10.7431
_cell_angle_alpha 16.37
_cell_angle_beta 16.37
_cell_angle_gamma 16.37
loop_
_symmetry_equiv_pos_as_xyz
'x,y,z'
loop_
_atom_site_label
_atom_site_fract_x
_atom_site_fract_y
_atom_site_fract_z
_atom_site_occupancy
Ce1 0.0000 0.0000 0.0000 1
Mg1 0.1023 0.1023 0.1023 1
Mg2 0.8977 0.8977 0.8977 1
Pd1 0.5000 0.5000 0.5000 1
```

---

# 4
# BaTl4Bi

A relaxed BaTl4Bi crystal (PBE, Alexandria via LeMat-Bulk).

## Properties
Calculated volume   417.47 Å³ per cell
Calculated formation energy   -0.23 eV per atom
Energy above the lowest structure with this stoichiometry   0.00 eV per formula unit
Size of the total moment   0.000 μB per cell

Cell and atoms, written as CIF:
```
data_BaTl4Bi
_chemical_formula_sum 'Ba2 Tl8 Bi2'
_symmetry_space_group_name_H-M 'P 1'
_symmetry_Int_Tables_number 1
_cell_length_a 7.7248
_cell_length_b 5.6673
_cell_length_c 9.5360
_cell_angle_alpha 90.00
_cell_angle_beta 90.00
_cell_angle_gamma 90.00
loop_
_symmetry_equiv_pos_as_xyz
'x,y,z'
loop_
_atom_site_label
_atom_site_fract_x
_atom_site_fract_y
_atom_site_fract_z
_atom_site_occupancy
Ba1 0.2500 0.0000 0.1625 1
Ba2 0.7500 0.0000 0.8375 1
Tl1 0.0000 0.0000 0.5000 1
Tl2 0.0320 0.5000 0.8235 1
Tl3 0.2500 0.5000 0.4895 1
Tl4 0.4680 0.5000 0.8235 1
Tl5 0.5000 0.0000 0.5000 1
Tl6 0.5320 0.5000 0.1765 1
Tl7 0.7500 0.5000 0.5105 1
Tl8 0.9680 0.5000 0.1765 1
Bi1 0.2500 0.0000 0.7925 1
Bi2 0.7500 0.0000 0.2075 1
```

---

# 5
# VFePt6

A relaxed VFePt6 crystal (PBE, Alexandria via LeMat-Bulk).

## Properties
Calculated volume   120.13 Å³ per cell
Calculated formation energy   -0.35 eV per atom
Energy above the lowest structure with this stoichiometry   0.00 eV per formula unit
Size of the total moment   5.517 μB per cell

Cell and atoms, written as CIF:
```
data_VFePt6
_chemical_formula_sum 'V1 Fe1 Pt6'
_symmetry_space_group_name_H-M 'P 1'
_symmetry_Int_Tables_number 1
_cell_length_a 3.9178
_cell_length_b 3.9178
_cell_length_c 7.8268
_cell_angle_alpha 90.00
_cell_angle_beta 90.00
_cell_angle_gamma 90.00
loop_
_symmetry_equiv_pos_as_xyz
'x,y,z'
loop_
_atom_site_label
_atom_site_fract_x
_atom_site_fract_y
_atom_site_fract_z
_atom_site_occupancy
V1 0.0000 0.0000 0.0000 1
Fe1 0.0000 0.0000 0.5000 1
Pt1 0.0000 0.5000 0.2477 1
Pt2 0.0000 0.5000 0.7523 1
Pt3 0.5000 0.0000 0.2477 1
Pt4 0.5000 0.0000 0.7523 1
Pt5 0.5000 0.5000 0.0000 1
Pt6 0.5000 0.5000 0.5000 1
```

---

# 6
# Mg2Tl

A relaxed Mg2Tl crystal (PBE, Alexandria via LeMat-Bulk).

## Properties
Calculated volume   214.48 Å³ per cell
Calculated formation energy   -0.03 eV per atom
Size of the total moment   0.000 μB per cell

Cell and atoms, written as CIF:
```
data_Mg2Tl
_chemical_formula_sum 'Mg6 Tl3'
_symmetry_space_group_name_H-M 'P 1'
_symmetry_Int_Tables_number 1
_cell_length_a 8.2212
_cell_length_b 8.2212
_cell_length_c 3.6646
_cell_angle_alpha 90.00
_cell_angle_beta 90.00
_cell_angle_gamma 120.00
loop_
_symmetry_equiv_pos_as_xyz
'x,y,z'
loop_
_atom_site_label
_atom_site_fract_x
_atom_site_fract_y
_atom_site_fract_z
_atom_site_occupancy
Mg1 0.0000 0.3756 0.0000 1
Mg2 0.0000 0.7145 0.5000 1
Mg3 0.2855 0.2855 0.5000 1
Mg4 0.3756 0.0000 0.0000 1
Mg5 0.6244 0.6244 0.0000 1
Mg6 0.7145 0.0000 0.5000 1
Tl1 0.0000 0.0000 0.0000 1
Tl2 0.3333 0.6667 0.5000 1
Tl3 0.6667 0.3333 0.5000 1
```

---

Q: Among the records above, which one has the lowest calculated volume?
A: Tb2C

---

Q: Which of these has the lowest calculated volume?
A: Tb2C

---

Q: Which formula does entry 1 have?
A: Tb2C

---

Q: The highest size of the total moment belongs to which entry?
A: VFePt6